No. 1
Ac2Nd3Si4 | PBE-GGA | optimized geometry

The space group is P2_1/c (No. 14) and the conventional cell measures 8.0674, 8.1429 and 7.9411 Å, with angles of 90.00, 105.91 and 90.00 degrees. Symmetry generates all atoms from Ac at (0.2004, 0.1781, 0.0893), Nd at (0.2436, 0.6826, 0.2559), Nd at (0.5000, 0.0000, 0.5000), Si at (0.0800, 0.5290, 0.8900) and Si at (0.4967, 0.1151, 0.8811).

Its calculated density is 6.61 g/cm³. The uncorrected formation energy is -0.650 eV per atom. The size of the total moment is 0.0 μB/f.u. The final energy is -5.5625 eV/atom. The density of states at the Fermi level comes out at 9.53 states/eV/f.u.

---

No. 2
Cs2TlPS4 | PBE-GGA | optimized geometry

The space group is Fddd (No. 70, origin choice 2) and the conventional cell measures 6.2704, 14.7065 and 24.6305 Å, with angles of 90.00, 90.00 and 90.00 degrees. Symmetry generates all atoms from Cs at (0.1250, 0.1250, 0.3036), Tl at (0.1250, 0.1250, 0.1250), P at (0.1250, 0.1250, 0.6250) and S at (0.1018, 0.2783, 0.8229).

Its calculated density is 3.68 g/cm³. The uncorrected formation energy is -0.456 eV per atom. The size of the total moment is 0.0 μB/f.u. The final energy is -3.7051 eV/atom.